Entry 1:
Below is an optimized crystal structure of Sm2AlAu2, with properties calculated at the PBE level.

a b c (Å): 11.0330 4.4172 11.0699
angles (deg): 90.00 118.49 90.00
Last column: nearest neighbours and their distance in Å.
Space group C2/m (No. 12)
Inequivalent atoms, fractional coordinates:
1 Sm 0.0012 0.0000 0.3361 (multiplicity 4)  7 Au 3.17-3.47, 4 Al 3.18-3.34
2 Sm 0.1891 0.0000 0.1063 (multiplicity 4)  6 Au 3.10-3.28, 2 Al 3.43
3 Al 0.2169 0.5000 0.3559 (multiplicity 4)  4 Au 2.56-2.80
4 Au 0.0237 0.5000 0.8799 (multiplicity 4)  1 Al 2.69, 1 Au 2.94
5 Au 0.1505 0.5000 0.5707 (multiplicity 4)  3 Al 2.56-2.80

Values from the calculation:
V (Å³/f.u.): 119
Formation enthalpy at 0 K (eV/atom): -0.739

***

Entry 2:
Below is an optimized crystal structure of SmAl2Au2, with properties calculated at the PBE level.

a b c (Å): 4.3904 4.3904 10.5044
angles (deg): 90.00 90.00 90.00
Last column: nearest neighbours and their distance in Å.
Space group P4/nmm (No. 129, origin choice 2)
Inequivalent atoms, fractional coordinates:
1 Sm 0.2500 0.2500 0.2478 (multiplicity 2)  8 Al 3.33-3.44, 8 Au 3.35-3.41
2 Al 0.2500 0.2500 0.8680 (multiplicity 2)  5 Au 2.49-2.60
3 Al 0.2500 0.7500 0.5000 (multiplicity 2)  4 Au 2.59
4 Au 0.2500 0.2500 0.6312 (multiplicity 2)  5 Al 2.49-2.59
5 Au 0.2500 0.7500 0.0000 (multiplicity 2)  4 Al 2.60

Values from the calculation:
V (Å³/f.u.): 101
Formation enthalpy at 0 K (eV/atom): -0.740

***

Entry 3:
Below is an optimized crystal structure of SmAl3Au2, with properties calculated at the PBE level.

a b c (Å): 16.8734 4.2520 10.1949
angles (deg): 90.00 104.90 90.00
Last column: nearest neighbours and their distance in Å.
Space group C2/m (No. 12)
Inequivalent atoms, fractional coordinates:
1 Sm 0.0000 0.0000 0.0000 (multiplicity 2)  6 Au 3.20-3.25, 6 Al 3.31-3.55
2 Sm 0.1582 0.0000 0.7056 (multiplicity 4)  6 Au 3.25-3.38, 9 Al 3.28-3.63
3 Al 0.0000 0.5000 0.5000 (multiplicity 2)  4 Au 2.62-2.77, 4 Al 2.76
4 Al 0.0425 0.0000 0.3597 (multiplicity 4)  4 Au 2.65-2.78, 3 Al 2.76-2.83
5 Al 0.1273 0.5000 0.1968 (multiplicity 4)  4 Au 2.62-2.67, 1 Al 2.68
6 Al 0.1646 0.5000 0.9568 (multiplicity 4)  4 Au 2.57-2.65, 1 Al 2.68
7 Al 0.2126 0.0000 0.3769 (multiplicity 4)  4 Au 2.52-2.64
8 Au 0.0252 0.5000 0.7793 (multiplicity 4)  5 Al 2.57-2.77
9 Au 0.1470 0.5000 0.4601 (multiplicity 4)  7 Al 2.52-2.78
10 Au 0.1984 0.0000 0.1159 (multiplicity 4)  6 Al 2.60-2.67

Values from the calculation:
V (Å³/f.u.): 118
Formation enthalpy at 0 K (eV/atom): -0.645

***

Entry 4:
Below is an optimized crystal structure of Sm4Al12Au, with properties calculated at the PBE level.

a b c (Å): 8.7866 8.7866 8.7866
angles (deg): 90.00 90.00 90.00
Last column: nearest neighbours and their distance in Å.
Space group Im-3m (No. 229)
Inequivalent atoms, fractional coordinates:
1 Sm 0.2500 0.2500 0.2500 (multiplicity 8)  12 Al 3.11-3.14
2 Al 0.0000 0.0000 0.3013 (multiplicity 12)  1 Au 2.65, 4 Al 2.81
3 Al 0.0000 0.2500 0.5000 (multiplicity 12)  8 Al 2.81-3.11, 4 Sm 3.11
4 Au 0.0000 0.0000 0.0000 (multiplicity 2)  6 Al 2.65

Values from the calculation:
V (Å³/f.u.): 339
Formation enthalpy at 0 K (eV/atom): -0.487

***

Entry 5:
Below is an optimized crystal structure of Sm2Al2Au, with properties calculated at the PBE level.

a b c (Å): 10.8793 4.5609 10.9509
angles (deg): 90.00 118.31 90.00
Last column: nearest neighbours and their distance in Å.
Space group C2/m (No. 12)
Inequivalent atoms, fractional coordinates:
1 Sm 0.0068 0.0000 0.3259 (multiplicity 4)  4 Au 3.15-3.39, 7 Al 3.18-3.40
2 Sm 0.1867 0.0000 0.1097 (multiplicity 4)  6 Al 3.19-3.24, 2 Au 3.31
3 Al 0.0184 0.5000 0.8872 (multiplicity 4)  1 Au 2.67, 1 Al 2.68
4 Al 0.1425 0.5000 0.5545 (multiplicity 4)  3 Au 2.64-2.84, 1 Al 2.74
5 Au 0.2265 0.5000 0.3449 (multiplicity 4)  4 Al 2.64-2.84

Values from the calculation:
V (Å³/f.u.): 120
Formation enthalpy at 0 K (eV/atom): -0.600

***

Entry 6:
Below is an optimized crystal structure of Sm6Al2Au, with properties calculated at the PBE level.

a b c (Å): 5.0728 7.2986 15.2795
angles (deg): 90.00 90.00 90.00
Last column: nearest neighbours and their distance in Å.
Space group Immm (No. 71)
Inequivalent atoms, fractional coordinates:
1 Sm 0.0000 0.2463 0.0000 (multiplicity 4)  2 Au 3.11, 2 Al 3.15
2 Sm 0.0000 0.2534 0.3352 (multiplicity 8)  1 Au 3.09, 3 Al 3.14
3 Al 0.0000 0.5000 0.1668 (multiplicity 4)  8 Sm 3.14-3.15
4 Au 0.0000 0.5000 0.5000 (multiplicity 2)  8 Sm 3.09-3.11

Values from the calculation:
V (Å³/f.u.): 283
Formation enthalpy at 0 K (eV/atom): -0.155

***

Entry 7:
Below is an optimized crystal structure of SmAl2Au8, with properties calculated at the PBE level.

a b c (Å): 14.2197 4.2625 7.7215
angles (deg): 90.00 117.01 90.00
Last column: nearest neighbours and their distance in Å.
Space group C2/m (No. 12)
Inequivalent atoms, fractional coordinates:
1 Sm 0.0000 0.0000 0.0000 (multiplicity 2)  12 Au 3.10-3.27
2 Al 0.2237 0.5000 0.7041 (multiplicity 4)  9 Au 2.65-2.87
3 Au 0.0425 0.5000 0.7302 (multiplicity 4)  1 Al 2.67, 5 Au 2.83-2.88
4 Au 0.1009 0.0000 0.4747 (multiplicity 4)  2 Al 2.81, 7 Au 2.88-3.07
5 Au 0.1652 0.5000 0.2964 (multiplicity 4)  3 Al 2.65-2.87, 3 Au 2.87-2.90
6 Au 0.1864 0.0000 0.8964 (multiplicity 4)  3 Al 2.75-2.78, 5 Au 2.78-2.91

Values from the calculation:
V (Å³/f.u.): 208
Formation enthalpy at 0 K (eV/atom): -0.406

***

Entry 8:
Below is an optimized crystal structure of Sm8Al2Au, with properties calculated at the PBE level.

a b c (Å): 18.9743 5.1403 6.8131
angles (deg): 90.00 103.10 90.00
Last column: nearest neighbours and their distance in Å.
Space group C2/m (No. 12)
Inequivalent atoms, fractional coordinates:
1 Sm 0.0218 0.0000 0.2716 (multiplicity 4)  2 Au 3.08, 1 Al 3.17, 1 Sm 3.40
2 Sm 0.0947 0.5000 0.9647 (multiplicity 4)  1 Au 3.27, 3 Sm 3.39-3.53, 2 Al 3.45
3 Sm 0.1560 0.5000 0.4723 (multiplicity 4)  1 Au 3.01, 3 Al 3.11-3.15
4 Sm 0.2083 0.0000 0.8035 (multiplicity 4)  3 Al 3.15-3.32, 3 Sm 3.42-3.51
5 Al 0.1870 0.0000 0.2483 (multiplicity 4)  9 Sm 3.11-3.45
6 Au 0.0000 0.5000 0.5000 (multiplicity 2)  8 Sm 3.01-3.27

Values from the calculation:
V (Å³/f.u.): 324
Formation enthalpy at 0 K (eV/atom): -0.254

***

Entry 9:
Below is an optimized crystal structure of Sm2Al6Au3, with properties calculated at the PBE level.

a b c (Å): 7.8918 7.8918 4.1722
angles (deg): 90.00 90.00 120.00
Last column: nearest neighbours and their distance in Å.
Space group P-62m (No. 189)
Inequivalent atoms, fractional coordinates:
1 Sm 0.3333 0.6667 0.0000 (multiplicity 2)  6 Au 3.25, 9 Al 3.34-3.46
2 Al 0.0000 0.1908 0.0000 (multiplicity 3)  2 Au 2.53, 2 Al 2.61
3 Al 0.0000 0.6966 0.5000 (multiplicity 3)  3 Au 2.56-2.71
4 Au 0.0000 0.3720 0.5000 (multiplicity 3)  5 Al 2.53-2.71

Values from the calculation:
V (Å³/f.u.): 225
Formation enthalpy at 0 K (eV/atom): -0.604

***

Entry 10:
Below is an optimized crystal structure of Sm3Al2Au7, with properties calculated at the PBE level.

a b c (Å): 4.3125 4.3125 28.1091
angles (deg): 90.00 90.00 90.00
Last column: nearest neighbours and their distance in Å.
Space group I4/mmm (No. 139)
Inequivalent atoms, fractional coordinates:
1 Sm 0.0000 0.0000 0.0000 (multiplicity 2)  12 Au 3.05-3.12
2 Sm 0.0000 0.0000 0.1741 (multiplicity 4)  5 Au 3.01-3.30, 4 Al 3.30
3 Al 0.0000 0.0000 0.3709 (multiplicity 4)  5 Au 2.52-2.55
4 Au 0.0000 0.0000 0.2812 (multiplicity 4)  1 Al 2.52
5 Au 0.0000 0.0000 0.5000 (multiplicity 2)  4 Sm 3.05, 8 Au 3.12
6 Au 0.0000 0.5000 0.0803 (multiplicity 8)  2 Al 2.55

Values from the calculation:
V (Å³/f.u.): 261
Formation enthalpy at 0 K (eV/atom): -0.608

***

Entry 11:
Below is an optimized crystal structure of Sm2Al3Au9, with properties calculated at the PBE level.

a b c (Å): 13.8381 7.9273 10.9345
angles (deg): 90.00 115.33 90.00
Last column: nearest neighbours and their distance in Å.
Space group C2/c (No. 15)
Inequivalent atoms, fractional coordinates:
1 Sm 0.1681 0.0833 0.2469 (multiplicity 8)  11 Au 3.13-3.24
2 Al 0.0861 0.2383 0.4978 (multiplicity 8)  8 Au 2.62-2.85
3 Al 0.2500 0.2500 0.0000 (multiplicity 4)  8 Au 2.67-2.74
4 Au 0.0000 0.3544 0.2500 (multiplicity 4)  2 Al 2.62
5 Au 0.0603 0.0823 0.9276 (multiplicity 8)  3 Al 2.64-2.78, 1 Au 2.92
6 Au 0.1070 0.4127 0.0672 (multiplicity 8)  3 Al 2.71-2.85, 5 Au 2.93-3.02
7 Au 0.1116 0.3068 0.7441 (multiplicity 8)  2 Al 2.62-2.67, 2 Au 2.92-2.93
8 Au 0.2273 0.4180 0.4350 (multiplicity 8)  3 Al 2.67-2.73, 5 Au 2.95-2.97

Values from the calculation:
V (Å³/f.u.): 271
Formation enthalpy at 0 K (eV/atom): -0.612

***

Entry 12:
Below is an optimized crystal structure of SmAl3Au3, with properties calculated at the PBE level.

a b c (Å): 8.2474 8.2474 15.4409
angles (deg): 90.00 90.00 120.00
Last column: nearest neighbours and their distance in Å.
Space group R-3 (No. 148, hexagonal axes)
Inequivalent atoms, fractional coordinates:
1 Sm 0.0000 0.0000 0.1795 (multiplicity 6)  6 Au 3.05-3.06, 3 Al 3.34
2 Al 0.0054 0.6970 0.6198 (multiplicity 18)  4 Au 2.48-2.75
3 Au 0.0087 0.2995 0.5564 (multiplicity 18)  4 Al 2.48-2.75

Values from the calculation:
V (Å³/f.u.): 152
Formation enthalpy at 0 K (eV/atom): -0.435